Compound: FeTcRu2
Source: Alexandria via LeMat-Bulk
Functional: PBE-GGA
Structure: relaxed

Calculated values
DOS at the Fermi energy: 4.8 states/eV/f.u.
DFT formation energy: 299 meV per atom

Cell: 6.066 6.066 6.066 Å, 90.00 90.00 90.00°
Space group Fm-3m (No. 225)
Unique sites:
Fe  0.000  0.000  0.000 (multiplicity 4)
Tc  0.000  0.000  0.500 (multiplicity 4)
Ru  0.250  0.250  0.250 (multiplicity 8)